# BaTaRe2Mo

Crystalline BaTaRe2Mo at its relaxed geometry (PBE-GGA, Alexandria via LeMat-Bulk).

space-group type = No. 123
E = -6.1213 eV/atom
formation energy = 3.779 eV/atom
DOS at the Fermi energy = 4.8 states/eV/f.u.

a b c (Å): 4.848 4.960 4.848
angles (deg): 90.00 90.00 90.00
Fractional coordinates of all 5 atoms:
Ta 0.000 0.500 0.000
Mo 0.500 0.500 0.500
Re 0.000 0.000 0.500
Re 0.500 0.000 0.000
Ba 0.000 0.000 0.000